No. 1
Density functional theory data (PBE) for CeSmPt6 after structural relaxation.

```
data_CeSmPt6
_chemical_formula_sum 'Ce1 Sm1 Pt6'
_space_group_name_H-M_alt 'P 1'
_space_group_IT_number 1
_space_group_name_Hall 'P 1'
_cell_length_a 4.171
_cell_length_b 4.171
_cell_length_c 8.329
_cell_angle_alpha 90.00
_cell_angle_beta 90.00
_cell_angle_gamma 90.00
loop_
_atom_site_label
_atom_site_type_symbol
_atom_site_fract_x
_atom_site_fract_y
_atom_site_fract_z
Ce1 Ce 0.000 0.000 0.500
Sm1 Sm 0.000 0.000 0.000
Pt1 Pt 0.500 0.500 0.000
Pt2 Pt 0.500 0.500 0.500
Pt3 Pt 0.500 0.000 0.255
Pt4 Pt 0.500 0.000 0.745
Pt5 Pt 0.000 0.500 0.255
Pt6 Pt 0.000 0.500 0.745
```

## Properties
The calculation puts the total magnetization at 0.02 μB/f.u. The total energy comes out at -54.74 eV/cell. The calculation puts the energy above the most stable polymorph in this dataset at 0 meV per atom.

No. 2
Density functional theory data (PBE) for KBeTe2O6 after structural relaxation.

```
data_KBeTe2O6
_chemical_formula_sum 'K2 Be2 Te4 O12'
_space_group_name_H-M_alt 'P 1'
_space_group_IT_number 1
_space_group_name_Hall 'P 1'
_cell_length_a 6.765
_cell_length_b 7.677
_cell_length_c 7.677
_cell_angle_alpha 104.63
_cell_angle_beta 75.28
_cell_angle_gamma 75.28
loop_
_atom_site_label
_atom_site_type_symbol
_atom_site_fract_x
_atom_site_fract_y
_atom_site_fract_z
K1 K 0.250 0.907 0.093
K2 K 0.750 0.093 0.907
Be1 Be 0.250 0.206 0.794
Be2 Be 0.750 0.794 0.206
Te1 Te 0.345 0.758 0.554
Te2 Te 0.155 0.446 0.242
Te3 Te 0.655 0.242 0.446
Te4 Te 0.845 0.554 0.758
O1 O 0.206 0.997 0.754
O2 O 0.294 0.246 0.003
O3 O 0.794 0.003 0.246
O4 O 0.706 0.754 0.997
O5 O 0.523 0.817 0.362
O6 O 0.977 0.638 0.183
O7 O 0.477 0.183 0.638
O8 O 0.023 0.362 0.817
O9 O 0.021 0.674 0.633
O10 O 0.479 0.367 0.326
O11 O 0.979 0.326 0.367
O12 O 0.521 0.633 0.674
```

## Properties
The calculation puts the total magnetization at 0.00 μB/f.u. The energy relative to the elements, uncorrected is -1376 meV/atom. The total energy comes out at -109.23 eV/cell.